NaCuTe3Pd: relaxed, PBE.

Values from the calculation:
The energy above the most stable polymorph in this dataset comes out at 0.0023 eV/atom. As for the crystal system: orthorhombic. As for the total DFT energy (no corrections): -3.610 eV/atom. As for the space-group type: Pnma, No. 62.

a b c (Å): 4.213 11.160 12.430
angles (deg): 90.00 90.00 90.00
Sites, in units of the cell vectors:
Te 0.750 0.535 0.109
Te 0.750 0.977 0.108
Te 0.250 0.757 0.301
Te 0.750 0.243 0.699
Te 0.750 0.035 0.391
Te 0.250 0.023 0.892
Te 0.250 0.257 0.199
Te 0.750 0.743 0.801
Te 0.250 0.965 0.609
Te 0.250 0.465 0.891
Te 0.250 0.523 0.608
Te 0.750 0.477 0.392
Na 0.250 0.247 0.498
Na 0.750 0.753 0.502
Na 0.250 0.747 0.002
Na 0.750 0.253 0.998
Pd 0.250 0.507 0.250
Pd 0.250 0.007 0.250
Pd 0.750 0.493 0.750
Pd 0.750 0.993 0.750
Cu 0.250 0.243 0.822
Cu 0.250 0.743 0.678
Cu 0.750 0.257 0.322
Cu 0.750 0.757 0.178